Crystalline SmHoS2 at its relaxed geometry, computed with PBE.

As for the distance to the lowest polymorph of the same formula: 0.0 meV/atom.

The space group is C2/m (No. 12) and the conventional cell measures 6.800, 3.938 and 6.858 Å, with angles of 90.00, 109.41 and 90.00 degrees. The inequivalent atoms are Sm at (0.000, 0.000, 0.000), Ho at (0.000, 0.500, 0.500) and S at (0.246, 0.000, 0.738).

***

Crystalline BaPa2N4 at its relaxed geometry, computed with PBE.

As for the electronic total energy: -9.2701 eV per atom.

The space group is Fd-3m (No. 227, origin choice 2) and the conventional cell measures 10.171, 10.171 and 10.171 Å, with angles of 90.00, 90.00 and 90.00 degrees. The inequivalent atoms are Ba at (0.125, 0.125, 0.125), Pa at (0.000, 0.000, 0.500) and N at (0.026, 0.026, 0.724).

***

Crystalline LuNiPb2 at its relaxed geometry, computed with PBE.

As for the distance to the lowest polymorph of the same formula: 1322.0 meV/atom.

The space group is F-43m (No. 216) and the conventional cell measures 6.267, 6.267 and 6.267 Å, with angles of 90.00, 90.00 and 90.00 degrees. The inequivalent atoms are Lu at (0.000, 0.000, 0.000), Ni at (0.250, 0.250, 0.750), Pb at (0.000, 0.000, 0.500) and Pb at (0.250, 0.250, 0.250).

***

Crystalline YZr2Cu4Si4 at its relaxed geometry, computed with PBE.

As for the electronic total energy: -6.0632 eV per atom.

The space group is Immm (No. 71) and the conventional cell measures 3.961, 6.533 and 13.224 Å, with angles of 90.00, 90.00 and 90.00 degrees. The inequivalent atoms are Y at (0.000, 0.000, 0.000), Zr at (0.000, 0.500, 0.125), Cu at (0.000, 0.308, 0.329), Si at (0.000, 0.000, 0.220) and Si at (0.000, 0.183, 0.500).

***

Crystalline BaPrHf at its relaxed geometry, computed with PBE.

As for the electronic total energy: -4.2045 eV per atom.

The space group is F-43m (No. 216) and the conventional cell measures 7.602, 7.602 and 7.602 Å, with angles of 90.00, 90.00 and 90.00 degrees. The inequivalent atoms are Ba at (0.000, 0.000, 0.000), Pr at (0.250, 0.250, 0.250) and Hf at (0.250, 0.250, 0.750).

***

Crystalline Y3Mg3GaHg2 at its relaxed geometry, computed with PBE.

As for the electronic total energy: -3.5103 eV per atom.

The space group is P-62m (No. 189) and the conventional cell measures 7.7938, 7.7938 and 4.1263 Å, with angles of 90.00, 90.00 and 120.00 degrees. The inequivalent atoms are Y at (0.0000, 0.4046, 0.0000), Mg at (0.0000, 0.7560, 0.5000), Ga at (0.0000, 0.0000, 0.0000) and Hg at (0.3333, 0.6667, 0.5000).

***

Crystalline GdDyIr2C2N2 at its relaxed geometry, computed with PBE.

As for the electronic total energy: -8.2682 eV per atom.

The space group is P4mm (No. 99) and the conventional cell measures 3.733, 3.733 and 7.332 Å, with angles of 90.00, 90.00 and 90.00 degrees. The inequivalent atoms are Gd at (0.000, 0.000, 0.000), Dy at (0.500, 0.500, 0.335), Ir at (0.000, 0.500, 0.666), C at (0.000, 0.000, 0.509), C at (0.500, 0.500, 0.828), N at (0.000, 0.000, 0.318) and N at (0.500, 0.500, 0.018).

***

Crystalline Mg4In2IrPd at its relaxed geometry, computed with PBE.

As for the electronic total energy: -3.5865 eV per atom.

The space group is P-6m2 (No. 187) and the conventional cell measures 4.6714, 4.6714 and 8.4146 Å, with angles of 90.00, 90.00 and 120.00 degrees. The inequivalent atoms are Mg at (0.0000, 0.0000, 0.1688), Mg at (0.6667, 0.3333, 0.3225), In at (0.3333, 0.6667, 0.0000), In at (0.3333, 0.6667, 0.5000), Ir at (0.6667, 0.3333, 0.0000) and Pd at (0.0000, 0.0000, 0.5000).